DFT (GGA-PBE) results for an optimized crystal structure of NaCuCl3.

Cell and atoms, written as CIF:
```
data_NaCuCl3
_cell_length_a 7.019
_cell_length_b 9.852
_cell_length_c 10.375
_cell_angle_alpha 25.04
_cell_angle_beta 58.88
_cell_angle_gamma 64.03
_symmetry_space_group_name_H-M 'P 1'
_symmetry_Int_Tables_number 1
_symmetry_space_group_name_Hall 'P 1'
loop_
_atom_site_label
_atom_site_type_symbol
_atom_site_fract_x
_atom_site_fract_y
_atom_site_fract_z
_atom_site_occupancy
Cl1 Cl 0.907 0.086 0.597 1
Cl2 Cl 0.837 0.039 0.976 1
Cl3 Cl 0.351 0.580 0.071 1
Cl4 Cl 0.753 0.946 0.393 1
Cl5 Cl 0.196 0.440 0.866 1
Cl6 Cl 0.266 0.487 0.488 1
Cu1 Cu 0.089 0.302 0.524 1
Cu2 Cu 0.014 0.224 0.939 1
Na1 Na 0.764 0.455 0.132 1
Na2 Na 0.339 0.071 0.331 1
```

## Properties
Symmetry: No. 2
Energy above the lowest structure with this stoichiometry (eV per formula unit): 0.000
DFT total energy (eV/atom): -3.193
Energy relative to the elements, uncorrected (eV per atom): -1.00

=====

DFT (GGA-PBE) results for an optimized crystal structure of MgAg2SnP.

Cell and atoms, written as CIF:
```
data_MgAg2SnP
_cell_length_a 4.686
_cell_length_b 5.817
_cell_length_c 4.686
_cell_angle_alpha 90.00
_cell_angle_beta 90.00
_cell_angle_gamma 90.00
_symmetry_space_group_name_H-M 'P 1'
_symmetry_Int_Tables_number 1
_symmetry_space_group_name_Hall 'P 1'
loop_
_atom_site_label
_atom_site_type_symbol
_atom_site_fract_x
_atom_site_fract_y
_atom_site_fract_z
_atom_site_occupancy
P1 P 0.000 0.000 0.000 1
Mg1 Mg 0.500 0.500 0.500 1
Sn1 Sn 0.000 0.500 0.000 1
Ag1 Ag 0.000 0.000 0.500 1
Ag2 Ag 0.500 0.000 0.000 1
```

## Properties
Symmetry: No. 123
ΔE_f (eV/atom): 0.2670
DFT total energy (eV/atom): -3.075

=====

DFT (GGA-PBE) results for an optimized crystal structure of AuCl2.

Cell and atoms, written as CIF:
```
data_AuCl2
_cell_length_a 6.830
_cell_length_b 6.830
_cell_length_c 6.944
_cell_angle_alpha 90.00
_cell_angle_beta 90.00
_cell_angle_gamma 120.00
_symmetry_space_group_name_H-M 'P 1'
_symmetry_Int_Tables_number 1
_symmetry_space_group_name_Hall 'P 1'
loop_
_atom_site_label
_atom_site_type_symbol
_atom_site_fract_x
_atom_site_fract_y
_atom_site_fract_z
_atom_site_occupancy
Cl1 Cl 0.337 0.337 0.500 1
Cl2 Cl 0.663 0.000 0.500 1
Cl3 Cl 0.698 0.698 0.000 1
Cl4 Cl 0.000 0.663 0.500 1
Cl5 Cl 0.000 0.302 0.000 1
Cl6 Cl 0.302 0.000 0.000 1
Au1 Au 0.000 0.000 0.500 1
Au2 Au 0.667 0.333 0.000 1
Au3 Au 0.333 0.667 0.000 1
```

## Properties
Symmetry: No. 189
DFT total energy (eV/atom): -2.312
Energy relative to the elements, uncorrected (eV per atom): 0.01

=====

DFT (GGA-PBE) results for an optimized crystal structure of Dy3YTm2.

Cell and atoms, written as CIF:
```
data_Dy3YTm2
_cell_length_a 3.474
_cell_length_b 10.143
_cell_length_c 11.595
_cell_angle_alpha 108.21
_cell_angle_beta 98.62
_cell_angle_gamma 90.00
_symmetry_space_group_name_H-M 'P 1'
_symmetry_Int_Tables_number 1
_symmetry_space_group_name_Hall 'P 1'
loop_
_atom_site_label
_atom_site_type_symbol
_atom_site_fract_x
_atom_site_fract_y
_atom_site_fract_z
_atom_site_occupancy
Y1 Y 0.686 0.039 0.372 1
Y2 Y 0.314 0.961 0.628 1
Dy1 Dy 0.696 0.713 0.392 1
Dy2 Dy 0.069 0.766 0.139 1
Dy3 Dy 0.559 0.439 0.119 1
Dy4 Dy 0.304 0.287 0.608 1
Dy5 Dy 0.441 0.561 0.881 1
Dy6 Dy 0.931 0.234 0.861 1
Tm1 Tm 0.930 0.862 0.860 1
Tm2 Tm 0.693 0.373 0.386 1
Tm3 Tm 0.307 0.627 0.614 1
Tm4 Tm 0.070 0.138 0.140 1
```

## Properties
Symmetry: No. 12
ΔE_f (eV/atom): 0.1258
Energy above the lowest structure with this stoichiometry (eV per formula unit): 0.740
DFT total energy (eV/atom): -4.743

=====

DFT (GGA-PBE) results for an optimized crystal structure of NaSmInPt.

Cell and atoms, written as CIF:
```
data_NaSmInPt
_cell_length_a 4.970
_cell_length_b 4.970
_cell_length_c 4.970
_cell_angle_alpha 60.00
_cell_angle_beta 60.00
_cell_angle_gamma 60.00
_symmetry_space_group_name_H-M 'P 1'
_symmetry_Int_Tables_number 1
_symmetry_space_group_name_Hall 'P 1'
loop_
_atom_site_label
_atom_site_type_symbol
_atom_site_fract_x
_atom_site_fract_y
_atom_site_fract_z
_atom_site_occupancy
Sm1 Sm 0.500 0.500 0.500 1
Na1 Na 0.250 0.250 0.250 1
Pt1 Pt 0.750 0.750 0.750 1
In1 In 0.000 0.000 0.000 1
```

## Properties
Symmetry: No. 216
ΔE_f (eV/atom): -0.5278
DFT total energy (eV/atom): -4.232

=====

DFT (GGA-PBE) results for an optimized crystal structure of NaY2TiW.

Cell and atoms, written as CIF:
```
data_NaY2TiW
_cell_length_a 5.160
_cell_length_b 4.878
_cell_length_c 5.160
_cell_angle_alpha 90.00
_cell_angle_beta 90.00
_cell_angle_gamma 90.00
_symmetry_space_group_name_H-M 'P 1'
_symmetry_Int_Tables_number 1
_symmetry_space_group_name_Hall 'P 1'
loop_
_atom_site_label
_atom_site_type_symbol
_atom_site_fract_x
_atom_site_fract_y
_atom_site_fract_z
_atom_site_occupancy
Ti1 Ti 0.500 0.500 0.500 1
Na1 Na 0.000 0.000 0.000 1
W1 W 0.000 0.500 0.000 1
Y1 Y 0.500 0.000 0.000 1
Y2 Y 0.000 0.000 0.500 1
```

## Properties
Symmetry: No. 123
ΔE_f (eV/atom): 1.7792
DFT total energy (eV/atom): -5.240

=====

DFT (GGA-PBE) results for an optimized crystal structure of TaTl2Ru.

Cell and atoms, written as CIF:
```
data_TaTl2Ru
_cell_length_a 4.912
_cell_length_b 4.912
_cell_length_c 3.201
_cell_angle_alpha 90.00
_cell_angle_beta 90.00
_cell_angle_gamma 90.00
_symmetry_space_group_name_H-M 'P 1'
_symmetry_Int_Tables_number 1
_symmetry_space_group_name_Hall 'P 1'
loop_
_atom_site_label
_atom_site_type_symbol
_atom_site_fract_x
_atom_site_fract_y
_atom_site_fract_z
_atom_site_occupancy
Ru1 Ru 0.500 0.000 0.500 1
Tl1 Tl 0.500 0.500 0.000 1
Tl2 Tl 0.000 0.000 0.000 1
Ta1 Ta 0.000 0.500 0.500 1
```

## Properties
Symmetry: No. 123
ΔE_f (eV/atom): 0.7721
Energy above the lowest structure with this stoichiometry (eV per formula unit): 2.289
DFT total energy (eV/atom): -5.693

=====

DFT (GGA-PBE) results for an optimized crystal structure of Pa2CoP2.

Cell and atoms, written as CIF:
```
data_Pa2CoP2
_cell_length_a 3.918
_cell_length_b 5.792
_cell_length_c 8.568
_cell_angle_alpha 92.87
_cell_angle_beta 90.00
_cell_angle_gamma 90.00
_symmetry_space_group_name_H-M 'P 1'
_symmetry_Int_Tables_number 1
_symmetry_space_group_name_Hall 'P 1'
loop_
_atom_site_label
_atom_site_type_symbol
_atom_site_fract_x
_atom_site_fract_y
_atom_site_fract_z
_atom_site_occupancy
P1 P 0.250 0.766 0.876 1
P2 P 0.250 0.737 0.387 1
P3 P 0.750 0.234 0.124 1
P4 P 0.750 0.263 0.613 1
Pa1 Pa 0.250 0.239 0.381 1
Pa2 Pa 0.250 0.286 0.849 1
Pa3 Pa 0.750 0.714 0.151 1
Pa4 Pa 0.750 0.761 0.619 1
Co1 Co 0.250 0.030 0.098 1
Co2 Co 0.750 0.970 0.902 1
```

## Properties
Symmetry: No. 11
ΔE_f (eV/atom): -1.0276
DFT total energy (eV/atom): -8.411

=====

DFT (GGA-PBE) results for an optimized crystal structure of Ce2TaGe3Ir4.

Cell and atoms, written as CIF:
```
data_Ce2TaGe3Ir4
_cell_length_a 4.209
_cell_length_b 4.209
_cell_length_c 10.621
_cell_angle_alpha 90.00
_cell_angle_beta 90.00
_cell_angle_gamma 90.00
_symmetry_space_group_name_H-M 'P 1'
_symmetry_Int_Tables_number 1
_symmetry_space_group_name_Hall 'P 1'
loop_
_atom_site_label
_atom_site_type_symbol
_atom_site_fract_x
_atom_site_fract_y
_atom_site_fract_z
_atom_site_occupancy
Ge1 Ge 0.500 0.000 0.871 1
Ge2 Ge 0.000 0.500 0.129 1
Ge3 Ge 0.000 0.000 0.500 1
Ir1 Ir 0.500 0.000 0.639 1
Ir2 Ir 0.500 0.500 0.000 1
Ir3 Ir 0.000 0.500 0.361 1
Ir4 Ir 0.000 0.000 0.000 1
Ce1 Ce 0.000 0.500 0.757 1
Ce2 Ce 0.500 0.000 0.243 1
Ta1 Ta 0.500 0.500 0.500 1
```

## Properties
Symmetry: No. 115
ΔE_f (eV/atom): -0.7503
DFT total energy (eV/atom): -8.052

=====

DFT (GGA-PBE) results for an optimized crystal structure of NdDy3Er2As6.

Cell and atoms, written as CIF:
```
data_NdDy3Er2As6
_cell_length_a 7.160
_cell_length_b 7.160
_cell_length_c 7.161
_cell_angle_alpha 99.59
_cell_angle_beta 99.59
_cell_angle_gamma 120.00
_symmetry_space_group_name_H-M 'P 1'
_symmetry_Int_Tables_number 1
_symmetry_space_group_name_Hall 'P 1'
loop_
_atom_site_label
_atom_site_type_symbol
_atom_site_fract_x
_atom_site_fract_y
_atom_site_fract_z
_atom_site_occupancy
Dy1 Dy 0.500 0.500 0.500 1
Dy2 Dy 0.165 0.835 0.500 1
Dy3 Dy 0.835 0.165 0.500 1
As1 As 0.576 0.916 0.748 1
As2 As 0.424 0.084 0.252 1
As3 As 0.256 0.256 0.749 1
As4 As 0.084 0.424 0.252 1
As5 As 0.744 0.744 0.251 1
As6 As 0.916 0.576 0.748 1
Nd1 Nd 0.000 0.000 0.000 1
Er1 Er 0.333 0.667 0.000 1
Er2 Er 0.667 0.333 0.000 1
```

## Properties
Symmetry: No. 12
ΔE_f (eV/atom): -1.5191
DFT total energy (eV/atom): -6.152

=====

DFT (GGA-PBE) results for an optimized crystal structure of RbLi4Ru2.

Cell and atoms, written as CIF:
```
data_RbLi4Ru2
_cell_length_a 5.056
_cell_length_b 5.056
_cell_length_c 7.937
_cell_angle_alpha 71.43
_cell_angle_beta 71.43
_cell_angle_gamma 90.00
_symmetry_space_group_name_H-M 'P 1'
_symmetry_Int_Tables_number 1
_symmetry_space_group_name_Hall 'P 1'
loop_
_atom_site_label
_atom_site_type_symbol
_atom_site_fract_x
_atom_site_fract_y
_atom_site_fract_z
_atom_site_occupancy
Li1 Li 0.500 0.000 0.000 1
Li2 Li 0.000 0.500 0.000 1
Li3 Li 0.771 0.771 0.458 1
Li4 Li 0.229 0.229 0.542 1
Ru1 Ru 0.581 0.581 0.837 1
Ru2 Ru 0.419 0.419 0.163 1
Rb1 Rb 0.000 0.000 0.000 1
```

## Properties
Symmetry: No. 139
ΔE_f (eV/atom): 1.0017
DFT total energy (eV/atom): -2.880

=====

DFT (GGA-PBE) results for an optimized crystal structure of ZrOs2Cl.

Cell and atoms, written as CIF:
```
data_ZrOs2Cl
_cell_length_a 4.661
_cell_length_b 4.661
_cell_length_c 8.143
_cell_angle_alpha 73.37
_cell_angle_beta 73.37
_cell_angle_gamma 90.00
_symmetry_space_group_name_H-M 'P 1'
_symmetry_Int_Tables_number 1
_symmetry_space_group_name_Hall 'P 1'
loop_
_atom_site_label
_atom_site_type_symbol
_atom_site_fract_x
_atom_site_fract_y
_atom_site_fract_z
_atom_site_occupancy
Os1 Os 0.875 0.747 0.750 1
Os2 Os 0.375 0.503 0.750 1
Os3 Os 0.253 0.625 0.250 1
Os4 Os 0.497 0.125 0.250 1
Zr1 Zr 0.000 0.000 0.000 1
Zr2 Zr 0.750 0.250 0.500 1
Cl1 Cl 0.250 0.750 0.500 1
Cl2 Cl 0.500 0.500 0.000 1
```

## Properties
Symmetry: No. 122
Energy above the lowest structure with this stoichiometry (eV per formula unit): 3.977
DFT total energy (eV/atom): -7.246
Energy relative to the elements, uncorrected (eV per atom): 0.97

=====

> The highest DFT total energy belongs to which entry?

AuCl2